(1)
BaTm2ZnO5 (meta-GGA SCAN, single point on PBEsol structure); mass density = 8.69 g cm⁻³; energy = -24.11 eV/atom; Fermi-level density of states = 0.00 states/eV per atom; formation energy (no corrections) = -312 kJ per mole of atoms
1.0
-5.130 -2.193 0.711
2.838 -6.188 1.389
0.421 2.838 11.790
Tm O Ba Zn
8 20 4 4
Direct
0.750 0.598 0.925
0.750 0.879 0.708
0.750 0.621 0.208
0.250 0.098 0.575
0.250 0.121 0.292
0.750 0.902 0.425
0.250 0.402 0.075
0.250 0.379 0.792
0.500 0.164 0.435
0.750 0.580 0.398
0.500 0.336 0.935
0.500 0.664 0.065
0.000 0.664 0.065
0.001 0.138 0.724
0.000 0.336 0.935
0.501 0.862 0.276
0.999 0.638 0.776
0.250 0.080 0.102
0.001 0.362 0.224
0.499 0.138 0.724
0.501 0.638 0.776
0.500 0.836 0.565
0.000 0.836 0.565
0.750 0.920 0.898
0.999 0.862 0.276
0.250 0.420 0.602
0.499 0.362 0.224
0.000 0.164 0.435
0.250 0.578 0.399
0.250 0.922 0.899
0.750 0.078 0.101
0.750 0.422 0.601
0.750 0.191 0.849
0.250 0.809 0.151
0.250 0.691 0.651
0.750 0.309 0.349

---

(2)
Ba5Tm8Zn4O21 (meta-GGA SCAN, single point on PBEsol structure); mass density = 8.48 g cm⁻³; energy = -24.20 eV/atom; Fermi-level density of states = 0.00 states/eV per atom; formation energy (no corrections) = -310 kJ per mole of atoms
1.0
-4.207 -2.377 -2.875
4.247 -6.057 -6.705
-2.365 -8.377 4.890
O Tm Ba Zn
21 8 5 4
Direct
0.008 0.891 0.594
0.398 0.594 0.109
0.700 0.872 0.226
0.493 0.109 0.406
0.500 0.000 0.000
0.040 0.330 0.590
0.101 0.406 0.891
0.926 0.774 0.872
0.630 0.410 0.330
0.572 0.226 0.128
0.300 0.128 0.774
0.074 0.226 0.128
0.602 0.406 0.891
0.798 0.128 0.774
0.960 0.670 0.410
0.992 0.109 0.406
0.899 0.594 0.109
0.370 0.590 0.670
0.202 0.872 0.226
0.507 0.891 0.594
0.428 0.774 0.872
0.358 0.054 0.230
0.753 0.416 0.079
0.168 0.079 0.584
0.588 0.770 0.054
0.412 0.230 0.946
0.832 0.921 0.416
0.247 0.584 0.921
0.642 0.946 0.770
0.860 0.604 0.677
0.537 0.323 0.604
0.000 0.000 0.000
0.140 0.396 0.323
0.463 0.677 0.396
0.960 0.290 0.791
0.040 0.710 0.209
0.249 0.791 0.710
0.751 0.209 0.290

---

(3)
BaUO3 (meta-GGA SCAN, single point on PBEsol structure); mass density = 8.42 g cm⁻³; energy = -35.61 eV/atom; Fermi-level density of states = 0.20 states/eV per atom; formation energy (no corrections) = -314 kJ per mole of atoms
1.0
-5.988 -1.086 -1.030
1.210 -0.965 -6.014
1.258 -8.466 1.611
U Ba O
4 4 12
Direct
0.000 0.500 0.500
0.500 0.000 0.000
0.000 0.500 0.000
0.500 0.000 0.500
0.980 0.006 0.750
0.020 0.994 0.250
0.520 0.506 0.250
0.480 0.494 0.750
0.275 0.726 0.461
0.775 0.774 0.039
0.225 0.226 0.539
0.014 0.572 0.750
0.725 0.274 0.961
0.986 0.428 0.250
0.775 0.774 0.461
0.514 0.928 0.750
0.725 0.274 0.539
0.225 0.226 0.961
0.275 0.726 0.039
0.486 0.072 0.250

---

(4)
BaUO4 (meta-GGA SCAN, single point on PBEsol structure); mass density = 7.61 g cm⁻³; energy = -31.43 eV/atom; Fermi-level density of states = 0.00 states/eV per atom; formation energy (no corrections) = -331 kJ per mole of atoms
1.0
5.800 0.000 0.000
0.000 8.080 0.000
0.000 0.000 8.187
O U Ba
16 4 4
Direct
0.148 0.250 0.000
0.702 0.076 0.569
0.116 0.527 0.250
0.852 0.750 0.000
0.884 0.473 0.750
0.298 0.576 0.569
0.852 0.750 0.500
0.298 0.924 0.431
0.702 0.076 0.931
0.148 0.250 0.500
0.298 0.924 0.069
0.298 0.576 0.931
0.116 0.973 0.750
0.702 0.424 0.431
0.702 0.424 0.069
0.884 0.027 0.250
0.000 0.500 0.500
0.000 0.000 0.000
0.000 0.500 0.000
0.000 0.000 0.500
0.518 0.807 0.750
0.482 0.307 0.750
0.518 0.693 0.250
0.482 0.193 0.250

---

(5)
BaV3O8 (meta-GGA SCAN, single point on PBEsol structure); mass density = 4.36 g cm⁻³; energy = -14.63 eV/atom; formation energy (no corrections) = -271 kJ per mole of atoms
1.0
5.498 0.000 0.000
0.000 7.393 -0.009
0.000 -2.446 7.839
O Ba V
16 2 6
Direct
0.750 0.817 0.310
0.500 0.470 0.199
0.750 0.834 0.989
0.250 0.183 0.690
0.250 0.830 0.430
0.494 0.135 0.273
0.000 0.530 0.801
0.750 0.170 0.570
0.994 0.865 0.727
0.506 0.865 0.727
0.250 0.166 0.011
0.006 0.135 0.273
0.000 0.470 0.199
0.500 0.530 0.801
0.250 0.432 0.486
0.750 0.568 0.514
0.250 0.784 0.099
0.750 0.216 0.901
0.750 0.071 0.364
0.250 0.290 0.216
0.250 0.929 0.636
0.250 0.418 0.682
0.750 0.710 0.784
0.750 0.582 0.318

---

(6)
BaVO3 (meta-GGA SCAN, single point on PBEsol structure); mass density = 6.31 g cm⁻³; energy = -18.08 eV/atom; Fermi-level density of states = 0.26 states/eV per atom; formation energy (no corrections) = -283 kJ per mole of atoms
1.0
-0.900 -5.557 0.043
5.262 1.998 -0.083
0.154 0.064 11.330
O Ba V
15 5 5
Direct
0.833 0.167 0.804
0.846 0.154 0.396
0.500 0.500 0.000
0.154 0.308 0.604
0.000 0.500 0.000
0.167 0.334 0.196
0.692 0.846 0.604
0.666 0.833 0.196
0.308 0.154 0.396
0.500 0.000 0.000
0.154 0.846 0.604
0.846 0.692 0.396
0.334 0.167 0.804
0.167 0.833 0.196
0.833 0.666 0.804
0.000 0.000 0.000
0.667 0.333 0.209
0.667 0.333 0.593
0.333 0.667 0.407
0.333 0.667 0.791
0.667 0.333 0.906
0.000 0.000 0.500
0.333 0.667 0.094
0.000 0.000 0.716
0.000 0.000 0.284

---

(7)
BaV8O16 (meta-GGA SCAN, single point on PBEsol structure); mass density = 4.72 g cm⁻³; energy = -13.93 eV/atom; Fermi-level density of states = 0.23 states/eV per atom; formation energy (no corrections) = -267 kJ per mole of atoms
1.0
5.637 0.003 -0.001
1.411 7.072 -0.003
1.409 -0.001 7.073
V O Ba
8 16 1
Direct
0.820 0.532 0.181
0.585 0.183 0.467
0.414 0.815 0.522
0.908 0.817 0.533
0.079 0.185 0.478
0.316 0.523 0.187
0.177 0.477 0.813
0.673 0.468 0.819
0.416 0.350 0.959
0.416 0.624 0.704
0.923 0.354 0.957
0.570 0.646 0.043
0.728 0.705 0.377
0.269 0.295 0.623
0.224 0.705 0.377
0.395 0.043 0.351
0.901 0.041 0.353
0.765 0.296 0.623
0.592 0.959 0.647
0.076 0.376 0.296
0.077 0.650 0.041
0.913 0.622 0.705
0.098 0.957 0.649
0.580 0.378 0.295
0.247 0.000 0.000

---

(8)
Ba5V5O14 (meta-GGA SCAN, single point on PBEsol structure); mass density = 5.71 g cm⁻³; energy = -18.48 eV/atom; Fermi-level density of states = 0.08 states/eV per atom; formation energy (no corrections) = -286 kJ per mole of atoms
1.0
-4.562 -2.959 -1.864
2.876 -1.779 4.648
-7.071 6.564 6.888
Ba O V
5 14 5
Direct
0.667 0.333 0.574
0.333 0.667 0.426
0.667 0.333 0.234
0.333 0.667 0.766
0.000 0.000 0.000
0.833 0.666 0.808
0.333 0.667 0.992
0.666 0.833 0.192
0.693 0.847 0.601
0.833 0.167 0.808
0.167 0.833 0.192
0.334 0.167 0.808
0.153 0.307 0.601
0.847 0.693 0.399
0.847 0.153 0.399
0.667 0.333 0.008
0.307 0.153 0.399
0.153 0.847 0.601
0.167 0.334 0.192
0.667 0.333 0.864
0.000 0.000 0.500
0.000 0.000 0.293
0.000 0.000 0.707
0.333 0.667 0.136

---

(9)
BaV10O15 (meta-GGA SCAN, single point on PBEsol structure); mass density = 5.70 g cm⁻³; energy = -14.48 eV/atom; Fermi-level density of states = 0.23 states/eV per atom; formation energy (no corrections) = -255 kJ per mole of atoms
1.0
-6.795 -3.127 -0.171
2.621 -2.947 6.358
-3.461 7.260 4.793
O V Ba
30 20 2
Direct
0.547 0.282 0.257
0.254 0.746 0.500
0.641 0.874 0.514
0.000 0.000 0.000
0.081 0.581 0.750
0.782 0.047 0.243
0.718 0.453 0.743
0.333 0.333 0.732
0.359 0.126 0.486
0.453 0.718 0.743
0.746 0.254 0.500
0.218 0.953 0.757
0.833 0.833 0.768
0.919 0.419 0.250
0.282 0.547 0.257
0.953 0.218 0.757
0.374 0.141 0.986
0.500 0.500 0.500
0.047 0.782 0.243
0.167 0.167 0.232
0.626 0.859 0.014
0.859 0.626 0.014
0.419 0.919 0.250
0.581 0.081 0.750
0.754 0.246 0.000
0.874 0.641 0.514
0.141 0.374 0.986
0.667 0.667 0.268
0.246 0.754 0.000
0.126 0.359 0.486
0.675 0.675 0.647
0.237 0.969 0.126
0.263 0.531 0.626
0.423 0.934 0.608
0.175 0.175 0.853
0.825 0.825 0.147
0.066 0.577 0.392
0.434 0.923 0.892
0.737 0.469 0.374
0.934 0.423 0.608
0.763 0.031 0.874
0.031 0.763 0.874
0.325 0.325 0.353
0.531 0.263 0.626
0.077 0.566 0.108
0.566 0.077 0.108
0.969 0.237 0.126
0.923 0.434 0.892
0.577 0.066 0.392
0.469 0.737 0.374
0.000 0.000 0.500
0.500 0.500 0.000

---

(10)
BaV6O11 (meta-GGA SCAN, single point on PBEsol structure); mass density = 5.54 g cm⁻³; energy = -14.57 eV/atom; Fermi-level density of states = 0.41 states/eV per atom; formation energy (no corrections) = -264 kJ per mole of atoms
1.0
-0.908 2.102 5.196
3.096 -4.715 -0.654
11.005 7.374 -1.059
O V Ba
22 12 2
Direct
0.169 0.337 0.927
0.333 0.666 0.401
0.170 0.830 0.587
0.170 0.340 0.587
0.340 0.170 0.087
0.152 0.304 0.254
0.660 0.830 0.587
0.152 0.848 0.254
0.830 0.170 0.087
0.169 0.832 0.927
0.667 0.333 0.588
0.333 0.667 0.088
0.830 0.660 0.087
0.667 0.334 0.901
0.337 0.168 0.427
0.831 0.168 0.427
0.304 0.152 0.754
0.848 0.696 0.754
0.848 0.152 0.754
0.831 0.663 0.427
0.696 0.848 0.254
0.663 0.832 0.927
0.519 0.039 0.002
0.519 0.481 0.002
0.000 0.000 0.653
0.961 0.481 0.002
0.667 0.333 0.730
0.000 0.000 0.359
0.481 0.961 0.502
0.039 0.519 0.502
0.000 0.000 0.859
0.000 0.000 0.153
0.333 0.667 0.230
0.481 0.519 0.502
0.333 0.667 0.763
0.667 0.333 0.263

---

(11)
Ba12V4O19 (meta-GGA SCAN, single point on PBEsol structure); mass density = 5.80 g cm⁻³; energy = -21.79 eV/atom; Fermi-level density of states = 0.21 states/eV per atom; formation energy (no corrections) = -275 kJ per mole of atoms
1.0
-6.575 -3.649 -2.122
0.771 -3.062 7.147
-5.510 7.687 3.880
V O Ba
4 19 12
Direct
0.501 0.001 0.747
0.001 0.501 0.747
0.499 0.999 0.253
0.999 0.499 0.253
0.766 0.459 0.251
0.906 0.591 0.886
0.913 0.608 0.612
0.591 0.906 0.886
0.500 0.500 0.500
0.732 0.042 0.263
0.234 0.541 0.749
0.087 0.392 0.388
0.094 0.409 0.114
0.409 0.094 0.114
0.541 0.234 0.749
0.392 0.087 0.388
0.500 0.500 0.000
0.958 0.268 0.737
0.459 0.766 0.251
0.000 0.000 0.000
0.042 0.732 0.263
0.608 0.913 0.612
0.268 0.958 0.737
0.738 0.262 0.500
0.256 0.256 0.574
0.744 0.744 0.426
0.576 0.576 0.753
0.255 0.745 0.000
0.424 0.424 0.247
0.262 0.738 0.500
0.745 0.255 0.000
0.251 0.251 0.925
0.073 0.073 0.240
0.927 0.927 0.760
0.749 0.749 0.075